--- P ---
Entry from the Alexandria database: a relaxed structure of HoErSe3 (GGA-PBE).

Values from the calculation:
Its space group is R-3 (148). The density of states at the Fermi level comes out at 0.0 states/eV/f.u.

Unit cell a=7.664 b=7.664 c=7.664 alpha=55.61 beta=55.61 gamma=55.61
Atoms (fractional coordinates):
1 Ho 0.152 0.152 0.152
2 Ho 0.848 0.848 0.848
3 Er 0.347 0.347 0.347
4 Er 0.653 0.653 0.653
5 Se 0.056 0.445 0.748
6 Se 0.252 0.944 0.555
7 Se 0.445 0.748 0.056
8 Se 0.555 0.252 0.944
9 Se 0.748 0.056 0.445
10 Se 0.944 0.555 0.252

=====

--- Q ---
Entry from the Alexandria database: a relaxed structure of HoErSe3 (GGA-PBE).

Values from the calculation:
Its space group is P2_1/m (11).

Unit cell a=8.025 b=4.014 c=8.122 alpha=90.00 beta=94.84 gamma=90.00
Atoms (fractional coordinates):
1 Ho 0.144 0.250 0.183
2 Ho 0.856 0.750 0.817
3 Er 0.385 0.750 0.731
4 Er 0.615 0.250 0.269
5 Se 0.110 0.250 0.821
6 Se 0.321 0.250 0.484
7 Se 0.380 0.750 0.111
8 Se 0.620 0.250 0.889
9 Se 0.679 0.750 0.516
10 Se 0.890 0.750 0.179

=====

Energies relative to the minimum, meV per atom: P 0; Q 33

=====

--- P ---
Entry from the Alexandria database: a relaxed structure of HoErSe2 (GGA-PBE).

Values from the calculation:
Its space group is Pnnm (58). The density of states at the Fermi level comes out at 2.1 states/eV/f.u.

Unit cell a=6.736 b=7.285 c=3.884 alpha=90.00 beta=90.00 gamma=90.00
Atoms (fractional coordinates):
1 Ho 0.000 0.000 0.000
2 Ho 0.500 0.500 0.500
3 Er 0.000 0.500 0.000
4 Er 0.500 0.000 0.500
5 Se 0.167 0.251 0.500
6 Se 0.333 0.751 0.000
7 Se 0.667 0.249 0.000
8 Se 0.833 0.749 0.500

=====

--- Q ---
Entry from the Alexandria database: a relaxed structure of HoErSe2 (GGA-PBE).

Values from the calculation:
Its space group is Pmn2_1 (31). The density of states at the Fermi level comes out at 1.0 states/eV/f.u.

Unit cell a=4.222 b=9.102 c=6.375 alpha=90.00 beta=90.00 gamma=90.00
Atoms (fractional coordinates):
1 Ho 0.000 0.166 0.000
2 Ho 0.500 0.834 0.500
3 Er 0.000 0.583 0.136
4 Er 0.500 0.417 0.636
5 Se 0.000 0.329 0.365
6 Se 0.000 0.903 0.243
7 Se 0.500 0.097 0.743
8 Se 0.500 0.671 0.865

=====

--- R ---
Entry from the Alexandria database: a relaxed structure of HoErSe2 (GGA-PBE).

Values from the calculation:
Its space group is R-3m (166). The density of states at the Fermi level comes out at 1.9 states/eV/f.u.

Unit cell a=6.975 b=6.975 c=6.975 alpha=33.80 beta=33.80 gamma=33.80
Atoms (fractional coordinates):
1 Ho 0.000 0.000 0.000
2 Er 0.500 0.500 0.500
3 Se 0.249 0.249 0.249
4 Se 0.751 0.751 0.751

=====

Energies relative to the minimum, meV per atom: P 45; Q 341; R 0

=====

--- P ---
Entry from the Alexandria database: a relaxed structure of Ho3Er2Se6 (GGA-PBE).

Values from the calculation:
Its space group is R-3m (166). The density of states at the Fermi level comes out at 4.4 states/eV/f.u.

Unit cell a=20.237 b=20.237 c=20.237 alpha=11.57 beta=11.57 gamma=11.57
Atoms (fractional coordinates):
1 Ho 0.000 0.000 0.000
2 Ho 0.280 0.280 0.280
3 Ho 0.720 0.720 0.720
4 Er 0.446 0.446 0.446
5 Er 0.554 0.554 0.554
6 Se 0.082 0.082 0.082
7 Se 0.197 0.197 0.197
8 Se 0.360 0.360 0.360
9 Se 0.640 0.640 0.640
10 Se 0.803 0.803 0.803
11 Se 0.918 0.918 0.918

=====

--- Q ---
Entry from the Alexandria database: a relaxed structure of Ho3Er2Se6 (GGA-PBE).

Values from the calculation:
Its space group is C2/m (12). The density of states at the Fermi level comes out at 4.3 states/eV/f.u.

Unit cell a=6.972 b=6.972 c=6.968 alpha=99.65 beta=99.65 gamma=119.76
Atoms (fractional coordinates):
1 Ho 0.000 0.000 0.000
2 Ho 0.335 0.665 0.000
3 Ho 0.665 0.335 0.000
4 Er 0.165 0.835 0.500
5 Er 0.835 0.165 0.500
6 Se 0.089 0.418 0.254
7 Se 0.254 0.254 0.743
8 Se 0.418 0.089 0.254
9 Se 0.582 0.911 0.746
10 Se 0.746 0.746 0.257
11 Se 0.911 0.582 0.746

=====

Energies relative to the minimum, meV per atom: P 84; Q 0

=====

--- P ---
Entry from the Alexandria database: a relaxed structure of Ho3ErSe6 (GGA-PBE).

Values from the calculation:
Its space group is R3 (146). The density of states at the Fermi level comes out at 0.0 states/eV/f.u.

Unit cell a=7.669 b=7.669 c=7.669 alpha=55.64 beta=55.64 gamma=55.64
Atoms (fractional coordinates):
1 Ho 0.000 0.000 0.000
2 Ho 0.195 0.195 0.195
3 Ho 0.500 0.500 0.500
4 Er 0.695 0.695 0.695
5 Se 0.096 0.405 0.792
6 Se 0.293 0.903 0.597
7 Se 0.405 0.792 0.096
8 Se 0.597 0.293 0.903
9 Se 0.792 0.096 0.405
10 Se 0.903 0.597 0.293

=====

--- Q ---
Entry from the Alexandria database: a relaxed structure of Ho3ErSe6 (GGA-PBE).

Values from the calculation:
Its space group is R-3 (148). The density of states at the Fermi level comes out at 0.0 states/eV/f.u.

Unit cell a=8.352 b=8.352 c=8.352 alpha=90.91 beta=90.91 gamma=90.91
Atoms (fractional coordinates):
1 Ho 0.070 0.580 0.746
2 Ho 0.254 0.930 0.420
3 Ho 0.420 0.254 0.930
4 Ho 0.580 0.746 0.070
5 Ho 0.746 0.070 0.580
6 Ho 0.930 0.420 0.254
7 Er 0.000 0.000 0.000
8 Er 0.500 0.500 0.500
9 Se 0.038 0.908 0.681
10 Se 0.092 0.319 0.962
11 Se 0.185 0.589 0.415
12 Se 0.319 0.962 0.092
13 Se 0.411 0.585 0.815
14 Se 0.415 0.185 0.589
15 Se 0.585 0.815 0.411
16 Se 0.589 0.415 0.185
17 Se 0.681 0.038 0.908
18 Se 0.815 0.411 0.585
19 Se 0.908 0.681 0.038
20 Se 0.962 0.092 0.319

=====

Energies relative to the minimum, meV per atom: P 0; Q 11

=====

--- P ---
Entry from the Alexandria database: a relaxed structure of HoEr3Se4 (GGA-PBE).

Values from the calculation:
Its space group is P2/c (13). The density of states at the Fermi level comes out at 3.5 states/eV/f.u.

Unit cell a=7.030 b=7.990 c=7.032 alpha=90.00 beta=109.19 gamma=90.00
Atoms (fractional coordinates):
1 Ho 0.000 0.125 0.250
2 Ho 0.000 0.875 0.750
3 Er 0.000 0.375 0.750
4 Er 0.000 0.625 0.250
5 Er 0.500 0.125 0.750
6 Er 0.500 0.375 0.250
7 Er 0.500 0.625 0.750
8 Er 0.500 0.875 0.250
9 Se 0.250 0.376 0.501
10 Se 0.250 0.624 0.001
11 Se 0.251 0.126 0.000
12 Se 0.251 0.874 0.500
13 Se 0.749 0.126 0.500
14 Se 0.749 0.874 0.000
15 Se 0.750 0.376 0.999
16 Se 0.750 0.624 0.499

=====

--- Q ---
Entry from the Alexandria database: a relaxed structure of HoEr3Se4 (GGA-PBE).

Values from the calculation:
Its space group is Pm-3m (221). The density of states at the Fermi level comes out at 5.1 states/eV/f.u.

Unit cell a=5.716 b=5.716 c=5.716 alpha=90.00 beta=90.00 gamma=90.00
Atoms (fractional coordinates):
1 Ho 0.000 0.000 0.000
2 Er 0.000 0.500 0.500
3 Er 0.500 0.000 0.500
4 Er 0.500 0.500 0.000
5 Se 0.000 0.000 0.500
6 Se 0.000 0.500 0.000
7 Se 0.500 0.000 0.000
8 Se 0.500 0.500 0.500

=====

Energies relative to the minimum, meV per atom: P 0; Q 13

=====

--- P ---
Entry from the Alexandria database: a relaxed structure of HoEr2Si2 (GGA-PBE).

Values from the calculation:
Its space group is P4/mbm (127). The density of states at the Fermi level comes out at 4.3 states/eV/f.u.

Unit cell a=7.427 b=7.427 c=4.174 alpha=90.00 beta=90.00 gamma=90.00
Atoms (fractional coordinates):
1 Ho 0.000 0.000 0.000
2 Ho 0.500 0.500 0.000
3 Er 0.176 0.324 0.500
4 Er 0.324 0.824 0.500
5 Er 0.676 0.176 0.500
6 Er 0.824 0.676 0.500
7 Si 0.117 0.617 0.000
8 Si 0.383 0.117 0.000
9 Si 0.617 0.883 0.000
10 Si 0.883 0.383 0.000

=====

--- Q ---
Entry from the Alexandria database: a relaxed structure of HoEr2Si2 (GGA-PBE).

Values from the calculation:
Its space group is C2/m (12). The density of states at the Fermi level comes out at 2.8 states/eV/f.u.

Unit cell a=6.388 b=6.388 c=10.225 alpha=115.25 beta=115.25 gamma=39.24
Atoms (fractional coordinates):
1 Ho 0.219 0.219 0.358
2 Ho 0.781 0.781 0.642
3 Er 0.317 0.317 0.913
4 Er 0.483 0.483 0.312
5 Er 0.517 0.517 0.688
6 Er 0.683 0.683 0.087
7 Si 0.027 0.027 0.898
8 Si 0.112 0.112 0.562
9 Si 0.888 0.888 0.438
10 Si 0.973 0.973 0.102

=====

Energies relative to the minimum, meV per atom: P 0; Q 108

=====

--- P ---
Entry from the Alexandria database: a relaxed structure of Sm7Ho4Er (GGA-PBE).

Values from the calculation:
Its space group is C2/m (12). The density of states at the Fermi level comes out at 19.0 states/eV/f.u.

Unit cell a=8.566 b=8.566 c=9.323 alpha=114.39 beta=114.39 gamma=40.58
Atoms (fractional coordinates):
1 Sm 0.000 0.000 0.000
2 Sm 0.289 0.289 0.120
3 Sm 0.291 0.291 0.768
4 Sm 0.417 0.417 0.557
5 Sm 0.583 0.583 0.443
6 Sm 0.709 0.709 0.232
7 Sm 0.711 0.711 0.880
8 Ho 0.072 0.072 0.698
9 Ho 0.172 0.172 0.388
10 Ho 0.828 0.828 0.612
11 Ho 0.928 0.928 0.302
12 Er 0.500 0.500 0.000

=====

--- Q ---
Entry from the Alexandria database: a relaxed structure of Sm7Ho4Er (GGA-PBE).

Values from the calculation:
Its space group is P-1 (2). The density of states at the Fermi level comes out at 16.2 states/eV/f.u.

Unit cell a=6.263 b=7.227 c=8.909 alpha=90.00 beta=76.34 gamma=89.95
Atoms (fractional coordinates):
1 Sm 0.000 0.000 0.000
2 Sm 0.221 0.500 0.334
3 Sm 0.280 0.250 0.666
4 Sm 0.499 0.752 0.999
5 Sm 0.501 0.248 0.001
6 Sm 0.720 0.750 0.334
7 Sm 0.779 0.500 0.666
8 Ho 0.220 0.000 0.335
9 Ho 0.278 0.751 0.667
10 Ho 0.722 0.249 0.333
11 Ho 0.780 0.000 0.665
12 Er 0.000 0.500 0.000

=====

Energies relative to the minimum, meV per atom: P 223; Q 0

=====

--- P ---
Entry from the Alexandria database: a relaxed structure of Sm2Ho8Er3 (GGA-PBE).

Values from the calculation:
Its space group is Pbam (55). The density of states at the Fermi level comes out at 17.0 states/eV/f.u.

Unit cell a=12.163 b=19.246 c=3.539 alpha=90.00 beta=90.00 gamma=90.00
Atoms (fractional coordinates):
1 Sm 0.167 0.130 0.000
2 Sm 0.333 0.630 0.000
3 Sm 0.667 0.370 0.000
4 Sm 0.833 0.870 0.000
5 Ho 0.016 0.583 0.000
6 Ho 0.123 0.864 0.000
7 Ho 0.150 0.299 0.500
8 Ho 0.210 0.482 0.500
9 Ho 0.290 0.982 0.500
10 Ho 0.350 0.799 0.500
11 Ho 0.377 0.364 0.000
12 Ho 0.484 0.083 0.000
13 Ho 0.516 0.917 0.000
14 Ho 0.623 0.636 0.000
15 Ho 0.650 0.201 0.500
16 Ho 0.710 0.018 0.500
17 Ho 0.790 0.518 0.500
18 Ho 0.850 0.701 0.500
19 Ho 0.877 0.136 0.000
20 Ho 0.984 0.417 0.000
21 Er 0.000 0.000 0.500
22 Er 0.124 0.712 0.500
23 Er 0.376 0.212 0.500
24 Er 0.500 0.500 0.500
25 Er 0.624 0.788 0.500
26 Er 0.876 0.288 0.500

=====

--- Q ---
Entry from the Alexandria database: a relaxed structure of Sm2Ho8Er3 (GGA-PBE).

Values from the calculation:
Its space group is Cmmm (65). The density of states at the Fermi level comes out at 22.3 states/eV/f.u.

Unit cell a=10.935 b=10.935 c=5.524 alpha=90.00 beta=90.00 gamma=139.58
Atoms (fractional coordinates):
1 Sm 0.241 0.759 0.000
2 Sm 0.759 0.241 0.000
3 Ho 0.130 0.870 0.500
4 Ho 0.180 0.394 0.000
5 Ho 0.337 0.663 0.500
6 Ho 0.394 0.180 0.000
7 Ho 0.606 0.820 0.000
8 Ho 0.663 0.337 0.500
9 Ho 0.820 0.606 0.000
10 Ho 0.870 0.130 0.500
11 Er 0.000 0.000 0.000
12 Er 0.285 0.285 0.500
13 Er 0.715 0.715 0.500

=====

Energies relative to the minimum, meV per atom: P 0; Q 169

=====

--- P ---
Entry from the Alexandria database: a relaxed structure of Sm3HoEr7 (GGA-PBE).

Values from the calculation:
Its space group is P3m1 (156). The density of states at the Fermi level comes out at 16.8 states/eV/f.u.

Unit cell a=7.011 b=7.011 c=8.594 alpha=90.00 beta=90.00 gamma=120.00
Atoms (fractional coordinates):
1 Sm 0.000 0.500 0.000
2 Sm 0.500 0.000 0.000
3 Sm 0.500 0.500 0.000
4 Ho 0.333 0.667 0.338
5 Er 0.168 0.335 0.663
6 Er 0.168 0.832 0.663
7 Er 0.335 0.168 0.338
8 Er 0.665 0.832 0.663
9 Er 0.667 0.333 0.662
10 Er 0.832 0.168 0.338
11 Er 0.832 0.665 0.338

=====

--- Q ---
Entry from the Alexandria database: a relaxed structure of Sm3HoEr7 (GGA-PBE).

Values from the calculation:
Its space group is P2/m (10). The density of states at the Fermi level comes out at 17.6 states/eV/f.u.

Unit cell a=6.901 b=5.480 c=9.921 alpha=90.00 beta=109.44 gamma=90.00
Atoms (fractional coordinates):
1 Sm 0.000 0.000 0.000
2 Sm 0.280 0.500 0.496
3 Sm 0.720 0.500 0.504
4 Ho 0.500 0.000 0.000
5 Er 0.000 0.000 0.500
6 Er 0.149 0.500 0.789
7 Er 0.320 0.500 0.138
8 Er 0.424 0.000 0.330
9 Er 0.576 0.000 0.670
10 Er 0.680 0.500 0.862
11 Er 0.851 0.500 0.211

=====

Energies relative to the minimum, meV per atom: P 28; Q 0

=====

--- P ---
Entry from the Alexandria database: a relaxed structure of SmHo4Er4 (GGA-PBE).

Values from the calculation:
Its space group is C2/m (12). The density of states at the Fermi level comes out at 11.6 states/eV/f.u.

Unit cell a=9.073 b=9.073 c=10.749 alpha=93.20 beta=93.20 gamma=139.79
Atoms (fractional coordinates):
1 Sm 0.226 0.226 0.281
2 Sm 0.774 0.774 0.719
3 Ho 0.185 0.815 0.000
4 Ho 0.357 0.641 0.834
5 Ho 0.357 0.643 0.500
6 Ho 0.359 0.643 0.166
7 Ho 0.641 0.357 0.834
8 Ho 0.643 0.357 0.500
9 Ho 0.643 0.359 0.166
10 Ho 0.815 0.185 0.000
11 Er 0.182 0.810 0.334
12 Er 0.190 0.818 0.666
13 Er 0.224 0.224 0.613
14 Er 0.227 0.227 0.946
15 Er 0.773 0.773 0.054
16 Er 0.776 0.776 0.387
17 Er 0.810 0.182 0.334
18 Er 0.818 0.190 0.666

=====

--- Q ---
Entry from the Alexandria database: a relaxed structure of SmHo4Er4 (GGA-PBE).

Values from the calculation:
Its space group is I4/mmm (139). The density of states at the Fermi level comes out at 12.7 states/eV/f.u.

Unit cell a=7.890 b=7.890 c=7.890 alpha=95.71 beta=95.71 gamma=143.24
Atoms (fractional coordinates):
1 Sm 0.000 0.000 0.000
2 Ho 0.000 0.334 0.334
3 Ho 0.000 0.666 0.666
4 Ho 0.334 0.000 0.334
5 Ho 0.666 0.000 0.666
6 Er 0.333 0.333 0.666
7 Er 0.333 0.667 0.000
8 Er 0.667 0.333 0.000
9 Er 0.667 0.667 0.334

=====

Energies relative to the minimum, meV per atom: P 65; Q 0